Density functional theory data (PBE-GGA) for a geometry-optimized Er2Ga4Pt3Au structure.

Summary:
As for the energy of formation from the pure elements: -844 meV/atom. The electronic total energy is -5.108 eV per atom. The value obtained for the density of states at the Fermi level is 0.41 states/eV per atom.

Lattice parameters (Å, degrees): 4.1645 4.1645 10.8970 90.00 90.00 90.00
With the nearest neighbours (Å) after each atom.
Fractional positions:
Er: 0.5000 0.0000 0.2414  6 Pt 3.15-3.50, 8 Ga 3.22-3.35, 2 Au 3.50
Er: 0.0000 0.5000 0.7586  6 Pt 3.15-3.50, 8 Ga 3.22-3.35, 2 Au 3.50
Ga: 0.5000 0.5000 0.0000  4 Pt 2.57
Ga: 0.0000 0.0000 0.0000  4 Pt 2.57
Ga: 0.5000 0.0000 0.6382  3 Pt 2.44-2.57, 2 Au 2.57
Ga: 0.0000 0.5000 0.3618  3 Pt 2.44-2.57, 2 Au 2.57
Pt: 0.0000 0.0000 0.5000  4 Ga 2.57
Pt: 0.5000 0.0000 0.8624  5 Ga 2.44-2.57
Pt: 0.0000 0.5000 0.1376  5 Ga 2.44-2.57
Au: 0.5000 0.5000 0.5000  4 Ga 2.57